# 1
Tb2DyYTm2 (PBE, optimized geometry); formation energy from the elements = 279 meV/atom; DOS(E_F) = 18.680 states/eV/cell; space-group type = Pnnm (58); calculated total energy = -55.19 eV for the cell shown
1.0
6.493 0.000 0.000
0.000 17.695 0.000
0.000 0.000 3.373
Tb Dy Y Tm
4 2 2 4
Cartesian
1.473 3.297 0.000
1.774 12.145 1.687
4.719 5.550 1.687
5.020 14.398 0.000
0.000 8.848 0.000
3.246 0.000 1.687
0.000 0.000 0.000
3.246 8.848 1.687
1.461 6.244 1.687
1.786 15.092 0.000
4.707 2.603 0.000
5.032 11.451 1.687

---

# 2
ZnSn2Sb2 (PBE, optimized geometry); DOS(E_F) = 5.416 states/eV/cell; energy relative to the lowest polymorph listed for this composition = 13 meV per atom; space-group type = P4/mbm (127); calculated total energy = -33.02 eV for the cell shown; formation energy without anion corrections = 0.203 eV/atom
1.0
8.420 0.000 0.000
0.000 8.420 0.000
0.000 0.000 3.945
Zn Sn Sb
2 4 4
Cartesian
0.000 0.000 0.000
4.210 4.210 0.000
1.265 2.945 0.000
2.945 7.155 0.000
5.475 1.265 0.000
7.155 5.475 0.000
1.223 5.433 1.973
2.986 1.223 1.973
5.433 7.196 1.973
7.196 2.986 1.973

---

# 3
CuAs2Pt (PBE, optimized geometry); formation energy from the elements = 71 meV/atom; DOS(E_F) = 1.267 states/eV/cell; energy relative to the lowest polymorph listed for this composition = 131 meV per atom; space-group type = P4/mmm (123); calculated total energy = -19.15 eV for the cell shown
1.0
4.253 0.000 0.000
0.000 4.253 0.000
0.000 0.000 3.580
Cu As Pt
1 2 1
Cartesian
0.000 0.000 0.000
0.000 2.127 1.790
2.127 0.000 1.790
2.127 2.127 0.000

---

# 4
BaAg3Pb3 (PBE, optimized geometry); formation energy from the elements = 106 meV/atom; DOS(E_F) = 8.538 states/eV/cell; energy relative to the lowest polymorph listed for this composition = 253 meV per atom; space-group type = Pm-3n (223); calculated total energy = -41.71 eV for the cell shown
1.0
7.889 0.000 0.000
0.000 7.889 0.000
0.000 0.000 7.889
Ba Ag Pb
2 6 6
Cartesian
0.000 0.000 0.000
3.945 3.945 3.945
0.000 1.972 3.945
0.000 5.917 3.945
1.972 3.945 0.000
3.945 0.000 1.972
3.945 0.000 5.917
5.917 3.945 0.000
0.000 3.945 1.972
0.000 3.945 5.917
1.972 0.000 3.945
3.945 1.972 0.000
3.945 5.917 0.000
5.917 0.000 3.945